# 1
## Tb3Er2In2 (PBE-GGA)

Data for a relaxed structure of Tb3Er2In2.

POSCAR file:
```
Tb3Er2In2
1.0
16.692 0.000 0.000
0.000 3.464 0.000
-3.699 0.000 6.999
Tb Er In
6 4 4
Cartesian
0.000 0.000 0.000 Tb
3.046 0.000 0.885 Tb
1.600 1.732 6.114 Tb
8.346 1.732 0.000 Tb
11.392 1.732 0.885 Tb
9.946 0.000 6.114 Tb
0.532 0.000 3.292 Er
4.115 1.732 3.707 Er
8.878 1.732 3.292 Er
12.461 0.000 3.707 Er
-1.608 1.732 5.120 In
6.254 0.000 1.879 In
6.738 0.000 5.120 In
14.600 1.732 1.879 In
```

Values from the calculation:
Excess energy over the best structure of this formula in the dataset ... 0.32 eV/f.u.
Space group ... C2/m, No. 12
Formation energy ... -0.114 eV per atom
Volume ... 404.7 Å³ per cell
Total magnetization ... 0.00 μB/f.u.
VASP energy ... -4.18 eV per atom
Crystal system ... monoclinic

# 2
## Tb5Er4In (PBE-GGA)

Data for a relaxed structure of Tb5Er4In.

POSCAR file:
```
Tb5Er4In
1.0
-5.270 5.270 2.895
5.270 -5.270 2.895
5.270 5.270 -2.895
Tb Er In
5 4 1
Cartesian
0.000 0.000 0.000 Tb
3.307 3.307 -1.242 Tb
1.963 -1.963 1.653 Tb
-1.963 1.963 1.653 Tb
1.963 1.963 1.653 Tb
5.270 -1.931 1.683 Er
5.270 1.931 1.683 Er
-1.931 5.270 1.683 Er
1.931 5.270 1.683 Er
0.000 0.000 3.001 In
```

Values from the calculation:
Excess energy over the best structure of this formula in the dataset ... 2.16 eV/f.u.
Space group ... I4mm, No. 107
Formation energy ... 0.139 eV per atom
Volume ... 321.6 Å³ per cell
Total magnetization ... 0.00 μB/f.u.
VASP energy ... -4.28 eV per atom
Crystal system ... tetragonal

# 3
## TbErIn4 (PBE-GGA)

Data for a relaxed structure of TbErIn4.

POSCAR file:
```
TbErIn4
1.0
4.941 0.000 0.000
0.000 7.072 0.000
-2.438 0.000 4.346
Tb Er In
1 1 4
Cartesian
0.000 0.000 0.000 Tb
-2.438 3.536 4.346 Er
0.018 1.791 2.904 In
0.018 5.281 2.904 In
2.484 1.803 1.441 In
2.484 5.269 1.441 In
```

Values from the calculation:
Excess energy over the best structure of this formula in the dataset ... 0.00 eV/f.u.
Space group ... Pm, No. 6
Formation energy ... -0.388 eV per atom
Volume ... 151.9 Å³ per cell
Total magnetization ... 0.00 μB/f.u.
VASP energy ... -3.75 eV per atom
Crystal system ... monoclinic

# 4
## Tb2Er2In7 (PBE-GGA)

Data for a relaxed structure of Tb2Er2In7.

POSCAR file:
```
Tb2Er2In7
1.0
4.292 -5.373 0.000
4.292 5.373 0.000
0.000 0.000 7.334
Tb Er In
2 2 7
Cartesian
1.576 0.000 0.000 Tb
7.007 0.000 0.000 Tb
4.292 2.180 3.667 Er
4.292 -2.180 3.667 Er
0.000 0.000 3.667 In
2.146 2.686 1.508 In
2.146 2.686 5.826 In
2.146 -2.686 1.508 In
2.146 -2.686 5.826 In
4.292 0.000 1.488 In
4.292 0.000 5.846 In
```

Values from the calculation:
Space group ... Cmmm, No. 65
Formation energy ... 0.030 eV per atom
Volume ... 338.2 Å³ per cell
Total magnetization ... 0.00 μB/f.u.
VASP energy ... -3.38 eV per atom
Crystal system ... orthorhombic

# 5
## Tb6Er3In (PBE-GGA)

Data for a relaxed structure of Tb6Er3In.

POSCAR file:
```
Tb6Er3In
1.0
9.602 0.000 0.000
0.000 5.553 0.000
-4.417 0.000 11.588
Tb Er In
12 6 2
Cartesian
-1.520 1.388 4.995 Tb
1.055 4.165 1.935 Tb
2.420 1.388 0.100 Tb
-0.205 4.165 9.251 Tb
1.894 1.388 3.778 Tb
1.269 1.388 7.393 Tb
3.916 4.165 4.194 Tb
3.292 4.165 7.810 Tb
5.390 1.388 2.337 Tb
2.765 4.165 11.488 Tb
4.130 1.388 9.653 Tb
6.705 4.165 6.593 Tb
-3.583 4.165 10.043 Er
-2.224 1.388 8.349 Er
0.522 4.165 5.473 Er
4.663 1.388 6.115 Er
7.409 4.165 3.239 Er
8.768 1.388 1.545 Er
4.112 4.165 0.964 In
1.073 1.388 10.624 In
```

Values from the calculation:
Excess energy over the best structure of this formula in the dataset ... 0.00 eV/f.u.
Space group ... P2_1/m, No. 11
Formation energy ... -0.072 eV per atom
Volume ... 617.9 Å³ per cell
Total magnetization ... 0.00 μB/f.u.
VASP energy ... -4.49 eV per atom
Crystal system ... monoclinic

# 6
## TbEr3In3 (PBE-GGA)

Data for a relaxed structure of TbEr3In3.

POSCAR file:
```
TbEr3In3
1.0
9.266 0.000 0.000
0.000 9.266 0.000
0.000 0.000 9.266
Tb Er In
4 12 12
Cartesian
0.635 3.999 5.268 Tb
3.999 5.268 0.635 Tb
5.268 0.635 3.999 Tb
8.632 8.632 8.632 Tb
0.784 5.417 8.483 Er
1.621 1.621 1.621 Er
1.653 7.614 2.980 Er
2.980 1.653 7.614 Er
3.012 7.645 6.255 Er
3.850 3.850 3.850 Er
5.417 8.483 0.784 Er
6.255 3.012 7.645 Er
6.286 6.286 6.286 Er
7.614 2.980 1.653 Er
7.645 6.255 3.012 Er
8.483 0.784 5.417 Er
0.008 2.413 8.152 In
1.114 4.641 2.220 In
2.220 1.114 4.641 In
2.413 8.152 0.008 In
3.519 4.626 6.853 In
4.626 6.853 3.519 In
4.641 2.220 1.114 In
5.747 9.259 7.047 In
6.853 3.519 4.626 In
7.047 5.747 9.259 In
8.152 0.008 2.413 In
9.259 7.047 5.747 In
```

Values from the calculation:
Excess energy over the best structure of this formula in the dataset ... 0.27 eV/f.u.
Space group ... P2_13, No. 198
Formation energy ... -0.300 eV per atom
Volume ... 795.7 Å³ per cell
Total magnetization ... 0.00 μB/f.u.
VASP energy ... -4.09 eV per atom
Crystal system ... cubic

# 7
## TbErIn2 (PBE-GGA)

Data for a relaxed structure of TbErIn2.

POSCAR file:
```
TbErIn2
1.0
3.679 0.000 0.000
-1.839 3.186 0.000
0.000 0.000 29.114
Tb Er In
3 3 6
Cartesian
0.000 0.000 0.000 Tb
0.000 2.124 19.409 Tb
1.839 1.062 9.705 Tb
0.000 0.000 14.557 Er
0.000 2.124 4.852 Er
1.839 1.062 24.261 Er
0.000 0.000 7.255 In
0.000 0.000 21.858 In
0.000 2.124 12.154 In
0.000 2.124 26.665 In
1.839 1.062 2.449 In
1.839 1.062 16.960 In
```

Values from the calculation:
Space group ... R-3m, No. 166
Formation energy ... -0.323 eV per atom
Volume ... 341.2 Å³ per cell
Total magnetization ... 0.00 μB/f.u.
VASP energy ... -3.99 eV per atom
Crystal system ... trigonal

# 8
## Tb3Er4In2 (PBE-GGA)

Data for a relaxed structure of Tb3Er4In2.

POSCAR file:
```
Tb3Er4In2
1.0
6.233 -2.638 0.000
6.233 2.638 0.000
-2.170 0.000 8.061
Tb Er In
3 4 2
Cartesian
0.000 0.000 0.000 Tb
3.879 0.000 5.284 Tb
6.417 0.000 2.777 Tb
0.100 0.000 5.303 Er
4.049 0.000 0.279 Er
6.247 0.000 7.782 Er
10.197 0.000 2.758 Er
1.971 0.000 2.565 In
8.326 0.000 5.497 In
```

Values from the calculation:
Space group ... C2/m, No. 12
Formation energy ... -0.199 eV per atom
Volume ... 265.1 Å³ per cell
Total magnetization ... 0.00 μB/f.u.
VASP energy ... -4.38 eV per atom
Crystal system ... monoclinic

# 9
## Tb5Er2In5 (PBE-GGA)

Data for a relaxed structure of Tb5Er2In5.

POSCAR file:
```
Tb5Er2In5
1.0
5.909 -2.559 0.000
5.909 2.559 0.000
-4.067 0.000 11.192
Tb Er In
5 2 5
Cartesian
0.000 0.000 0.000 Tb
-1.571 0.000 8.674 Tb
-0.229 0.000 5.599 Tb
7.980 0.000 5.593 Tb
9.322 0.000 2.519 Tb
2.024 0.000 8.308 Er
5.727 0.000 2.884 Er
1.644 0.000 3.067 In
3.780 0.000 0.408 In
3.876 0.000 5.596 In
3.971 0.000 10.784 In
6.108 0.000 8.126 In
```

Values from the calculation:
Space group ... C2/m, No. 12
Formation energy ... -0.308 eV per atom
Volume ... 338.5 Å³ per cell
Total magnetization ... 0.00 μB/f.u.
VASP energy ... -4.14 eV per atom
Crystal system ... monoclinic

# 10
## Tb5Er6In (PBE-GGA)

Data for a relaxed structure of Tb5Er6In.

POSCAR file:
```
Tb5Er6In
1.0
-2.458 4.951 7.448
2.458 -4.951 7.448
2.458 4.951 -7.448
Tb Er In
5 6 1
Cartesian
0.000 0.000 0.000 Tb
2.458 0.000 2.427 Tb
0.000 0.000 4.961 Tb
0.000 0.000 9.935 Tb
0.000 4.951 5.021 Tb
2.458 -2.440 4.972 Er
2.458 2.534 0.000 Er
0.000 2.511 2.476 Er
2.458 2.440 4.972 Er
0.000 2.417 7.448 Er
0.000 7.392 2.476 Er
0.000 4.951 0.000 In
```

Values from the calculation:
Space group ... Immm, No. 71
Formation energy ... -0.053 eV per atom
Volume ... 362.6 Å³ per cell
Total magnetization ... 0.00 μB/f.u.
VASP energy ... -4.49 eV per atom
Crystal system ... orthorhombic